Here is a geometry-optimized MnBi2Au structure from the Alexandria database. Energies are from GGA-PBE.

```
8
Lattice="6.063 0.000 0.000 0.000 6.063 0.000 3.031 3.031 6.481" Properties=species:S:1:pos:R:3 pbc="T T T"
Au 6.063 3.031 3.240
Au 0.000 0.000 0.000
Bi 7.578 7.298 4.860
Bi 1.796 4.547 1.620
Bi 4.547 4.827 4.860
Bi 4.267 1.516 1.620
Mn 3.031 6.063 3.240
Mn 3.031 3.031 0.000
```

Computed properties:
N(E_F) ... 1.2792 states/eV per atom
Size of the total moment ... 0.001 μB/f.u.
DFT total energy ... -0.1595 hartree per atom
Energy relative to the elements ... 713 meV/atom

Here is a geometry-optimized Mn3BiAu structure from the Alexandria database. Energies are from GGA-PBE.

```
5
Lattice="-3.089 -3.598 -1.416 2.943 -3.363 2.125 -2.508 0.484 4.239" Properties=species:S:1:pos:R:3 pbc="T T T"
Mn -1.544 -1.799 -0.708
Mn 1.472 -1.682 1.063
Mn -1.254 0.242 2.120
Bi -1.326 -3.239 2.474
Au 0.000 0.000 0.000
```

Computed properties:
N(E_F) ... 0.7388 states/eV per atom
Excess energy over the best structure of this formula in the dataset ... 0 meV per atom
Size of the total moment ... 12.520 μB/f.u.
DFT total energy ... -0.2290 hartree per atom
Energy relative to the elements ... 701 meV/atom

Here is a geometry-optimized MnBiAu5 structure from the Alexandria database. Energies are from GGA-PBE.

```
7
Lattice="4.085 0.000 0.000 0.000 4.085 0.000 0.000 0.000 8.670" Properties=species:S:1:pos:R:3 pbc="T T T"
Au 0.000 2.042 6.612
Au 0.000 0.000 0.000
Au 0.000 2.042 2.058
Au 2.042 0.000 2.058
Au 2.042 0.000 6.612
Mn 2.042 2.042 0.000
Bi 0.000 0.000 4.335
```

Computed properties:
N(E_F) ... 0.4929 states/eV per atom
Size of the total moment ... 4.470 μB/f.u.
DFT total energy ... -0.1543 hartree per atom
Energy relative to the elements ... 6 meV/atom

Here is a geometry-optimized MnBi3Au structure from the Alexandria database. Energies are from GGA-PBE.

```
5
Lattice="5.169 0.000 0.000 0.000 5.169 0.000 0.000 0.000 5.169" Properties=species:S:1:pos:R:3 pbc="T T T"
Bi 0.000 0.000 2.584
Bi 0.000 2.584 0.000
Bi 2.584 0.000 0.000
Mn 0.000 0.000 0.000
Au 2.584 2.584 2.584
```

Computed properties:
N(E_F) ... 0.7379 states/eV per atom
Excess energy over the best structure of this formula in the dataset ... 0 meV per atom
Size of the total moment ... 2.415 μB/f.u.
DFT total energy ... -0.1603 hartree per atom
Energy relative to the elements ... 456 meV/atom